1.
Crystalline CsHgBiSe2 at its relaxed geometry. Source: Alexandria, functional PBE-GGA. Values from VASP.

The uncorrected formation energy comes out at -0.367 eV per atom. The space group is No. 123. For the total energy, the calculation gives -13.84 eV/cell.

Cell and atoms, written as Quantum ESPRESSO input:
```
&SYSTEM
  ibrav = 0, nat = 5, ntyp = 4
/
ATOMIC_SPECIES
Cs 132.91 Cs.upf
Hg 200.59 Hg.upf
Bi 208.98 Bi.upf
Se 78.96 Se.upf
ATOMIC_POSITIONS crystal
Cs 0.0000 0.0000 0.0000
Hg 0.5000 0.5000 0.0000
Bi 0.5000 0.5000 0.5000
Se 0.0000 0.5000 0.5000
Se 0.5000 0.0000 0.5000
CELL_PARAMETERS angstrom
5.7342 0.0000 0.0000
0.0000 5.7342 0.0000
0.0000 0.0000 5.8989
```

2.
Crystalline Zn3Ga4Ag at its relaxed geometry. Source: Alexandria, functional PBE-GGA. Values from VASP.

The formation energy is 0.67 kcal/mol of atoms. The space group is No. 12. For the total energy, the calculation gives -18.55 eV/cell.

Cell and atoms, written as Quantum ESPRESSO input:
```
&SYSTEM
  ibrav = 0, nat = 8, ntyp = 3
/
ATOMIC_SPECIES
Zn 65.41 Zn.upf
Ga 69.72 Ga.upf
Ag 107.87 Ag.upf
ATOMIC_POSITIONS crystal
Zn 0.0000 0.0000 0.0000
Zn 0.1202 0.1202 0.4534
Zn 0.8798 0.8798 0.5466
Ga 0.2577 0.2577 0.2582
Ga 0.3753 0.3753 0.0293
Ga 0.6247 0.6247 0.9707
Ga 0.7423 0.7423 0.7418
Ag 0.5000 0.5000 0.5000
CELL_PARAMETERS angstrom
10.0863 -1.4233 0.0000
10.0863 1.4233 0.0000
-1.1904 0.0000 4.8020
```

3.
Crystalline ScH8PdRh4 at its relaxed geometry. Source: Alexandria, functional PBE-GGA. Values from VASP.

The space group is No. 160. For the total energy, the calculation gives -69.89 eV/cell.

Cell and atoms, written as Quantum ESPRESSO input:
```
&SYSTEM
  ibrav = 0, nat = 14, ntyp = 4
/
ATOMIC_SPECIES
Sc 44.96 Sc.upf
H 1.01 H.upf
Pd 106.42 Pd.upf
Rh 102.91 Rh.upf
ATOMIC_POSITIONS crystal
Sc 0.0000 0.0000 0.0000
H 0.3459 0.3459 0.8691
H 0.3459 0.8691 0.3459
H 0.3810 0.3810 0.3810
H 0.4504 0.8485 0.8485
H 0.8467 0.8467 0.8467
H 0.8485 0.4504 0.8485
H 0.8485 0.8485 0.4504
H 0.8691 0.3459 0.3459
Pd 0.6157 0.6157 0.6157
Rh 0.1222 0.6182 0.6182
Rh 0.2522 0.2522 0.2522
Rh 0.6182 0.1222 0.6182
Rh 0.6182 0.6182 0.1222
CELL_PARAMETERS angstrom
2.7923 1.6122 4.5564
-2.7923 1.6122 4.5564
0.0000 -3.2243 4.5564
```

4.
Crystalline GdPuOs at its relaxed geometry. Source: Alexandria, functional PBE-GGA. Values from VASP.

The formation energy is 0.84 kcal/mol of atoms. The space group is No. 216. For the total energy, the calculation gives -39.53 eV/cell.

Cell and atoms, written as Quantum ESPRESSO input:
```
&SYSTEM
  ibrav = 0, nat = 3, ntyp = 3
/
ATOMIC_SPECIES
Gd 157.25 Gd.upf
Pu 244.00 Pu.upf
Os 190.23 Os.upf
ATOMIC_POSITIONS crystal
Gd 0.0000 0.0000 0.0000
Pu 0.5000 0.5000 0.5000
Os 0.2500 0.2500 0.2500
CELL_PARAMETERS angstrom
0.0000 3.3719 3.3719
3.3719 0.0000 3.3719
3.3719 3.3719 0.0000
```